[1]
! Ba2ZnTc | Alexandria via LeMat-Bulk | PBE | optimized geometry; values from VASP
! Theoretical density ... 4.4 g/cm³
! Raw total energy ... -3.376 eV/atom
! ΔE_f ... 495 meV/atom
! Density of states at the Fermi level ... 5.11 states/eV per cell
&SYSTEM
  ibrav = 0, nat = 8, ntyp = 3
/
ATOMIC_SPECIES
Tc 98.00 Tc.upf
Ba 137.33 Ba.upf
Zn 65.41 Zn.upf
CELL_PARAMETERS angstrom
-5.025 2.490 9.999
-1.974 -11.151 1.785
-1.289 -4.536 7.054
ATOMIC_POSITIONS crystal
Tc 0.000 0.000 0.000
Tc 0.750 0.250 0.500
Ba 0.899 0.625 0.250
Ba 0.375 0.149 0.750
Ba 0.875 0.101 0.750
Ba 0.851 0.125 0.250
Zn 0.500 0.500 0.000
Zn 0.250 0.750 0.500

---

[2]
! Fe2ReCl | Alexandria via LeMat-Bulk | PBE | optimized geometry; values from VASP
! Theoretical density ... 10.0 g/cm³
! Raw total energy ... -7.347 eV/atom
! Raw formation energy ... 0.458 eV per atom
! Distance to the lowest polymorph of the same formula ... 184 meV per atom
! Density of states at the Fermi level ... 2.64 states/eV per cell
&SYSTEM
  ibrav = 0, nat = 4, ntyp = 3
/
ATOMIC_SPECIES
Fe 55.84 Fe.upf
Cl 35.45 Cl.upf
Re 186.21 Re.upf
CELL_PARAMETERS angstrom
-1.624 1.148 2.062
-2.340 -0.458 -1.588
-0.722 -6.088 2.820
ATOMIC_POSITIONS crystal
Fe 0.500 0.500 0.254
Fe 0.000 0.000 0.020
Cl 0.500 0.500 0.762
Re 0.000 0.000 0.464

---

[3]
! Nb2FeNiSb | Alexandria via LeMat-Bulk | PBE | optimized geometry; values from VASP
! Theoretical density ... 7.6 g/cm³
! Raw total energy ... -6.950 eV/atom
! Raw formation energy ... 0.751 eV per atom
! Density of states at the Fermi level ... 8.30 states/eV per cell
&SYSTEM
  ibrav = 0, nat = 5, ntyp = 4
/
ATOMIC_SPECIES
Ni 58.69 Ni.upf
Sb 121.76 Sb.upf
Fe 55.84 Fe.upf
Nb 92.91 Nb.upf
CELL_PARAMETERS angstrom
4.609 0.000 0.000
0.000 4.336 0.000
0.000 0.000 4.609
ATOMIC_POSITIONS crystal
Ni 0.000 0.000 0.000
Sb 0.500 0.500 0.500
Fe 0.000 0.500 0.000
Nb 0.500 0.000 0.000
Nb 0.000 0.000 0.500

---

[4]
! HgBi2C | Alexandria via LeMat-Bulk | PBE | optimized geometry; values from VASP
! Theoretical density ... 11.2 g/cm³
! Raw total energy ... -2.934 eV/atom
! Distance to the lowest polymorph of the same formula ... 494 meV per atom
! ΔE_f ... 1388 meV/atom
! Density of states at the Fermi level ... 2.44 states/eV per cell
&SYSTEM
  ibrav = 0, nat = 4, ntyp = 3
/
ATOMIC_SPECIES
Bi 208.98 Bi.upf
C 12.01 C.upf
Hg 200.59 Hg.upf
CELL_PARAMETERS angstrom
2.505 -4.379 0.690
-1.997 -4.369 -1.689
2.097 -2.388 -3.979
ATOMIC_POSITIONS crystal
Bi 0.750 0.750 0.750
Bi 0.250 0.250 0.250
C 0.000 0.000 0.000
Hg 0.500 0.500 0.500

---

[5]
! InRu | Alexandria via LeMat-Bulk | PBE | optimized geometry; values from VASP
! Theoretical density ... 9.3 g/cm³
! Raw total energy ... -5.847 eV/atom
! ΔE_f ... 161 meV/atom
! Density of states at the Fermi level ... 10.92 states/eV per cell
&SYSTEM
  ibrav = 0, nat = 12, ntyp = 2
/
ATOMIC_SPECIES
Ru 101.07 Ru.upf
In 114.82 In.upf
CELL_PARAMETERS angstrom
2.940 0.000 0.000
0.000 12.002 0.000
0.000 0.000 6.563
ATOMIC_POSITIONS crystal
Ru 0.500 0.391 0.072
Ru 0.000 0.000 0.312
Ru 0.000 0.500 0.812
Ru 0.500 0.109 0.572
Ru 0.500 0.609 0.072
Ru 0.500 0.891 0.572
In 0.000 0.738 0.799
In 0.000 0.238 0.299
In 0.500 0.500 0.447
In 0.000 0.262 0.799
In 0.000 0.762 0.299
In 0.500 0.000 0.947

---

[6]
! CaPr4In2 | Alexandria via LeMat-Bulk | PBE | optimized geometry; values from VASP
! Theoretical density ... 5.8 g/cm³
! Raw total energy ... -3.922 eV/atom
! Distance to the lowest polymorph of the same formula ... 152 meV per atom
! ΔE_f ... -123 meV/atom
! Density of states at the Fermi level ... 17.67 states/eV per cell
&SYSTEM
  ibrav = 0, nat = 14, ntyp = 3
/
ATOMIC_SPECIES
Ca 40.08 Ca.upf
In 114.82 In.upf
Pr 140.91 Pr.upf
CELL_PARAMETERS angstrom
-6.014 3.899 5.322
-1.124 -7.342 4.976
6.600 6.643 -1.405
ATOMIC_POSITIONS crystal
Ca 0.125 0.687 0.740
Ca 0.302 0.366 0.241
In 0.606 0.374 0.800
In 0.654 0.379 0.144
In 0.676 0.943 0.300
In 0.015 0.242 0.645
Pr 0.957 0.642 0.174
Pr 0.526 0.846 0.890
Pr 0.295 0.113 0.389
Pr 0.358 0.595 0.078
Pr 0.731 0.469 0.575
Pr 0.306 0.010 0.676
Pr 0.916 0.117 0.175
Pr 0.782 0.967 0.674

---

[7]
! Pm2BeSi | Alexandria via LeMat-Bulk | PBE | optimized geometry; values from VASP
! Theoretical density ... 5.9 g/cm³
! Raw total energy ... -4.704 eV/atom
! Raw formation energy ... -0.042 eV per atom
! Distance to the lowest polymorph of the same formula ... 143 meV per atom
! Density of states at the Fermi level ... 4.26 states/eV per cell
&SYSTEM
  ibrav = 0, nat = 8, ntyp = 3
/
ATOMIC_SPECIES
Pm 145.00 Pm.upf
Si 28.09 Si.upf
Be 9.01 Be.upf
CELL_PARAMETERS angstrom
4.130 0.000 0.000
0.000 9.320 0.007
-2.065 -2.333 4.766
ATOMIC_POSITIONS crystal
Pm 0.829 0.914 0.657
Pm 0.172 0.586 0.343
Pm 0.828 0.414 0.657
Pm 0.171 0.086 0.343
Si 0.501 0.250 0.000
Si 0.499 0.750 0.000
Be 0.999 0.750 0.000
Be 0.001 0.250 0.000

---

[8]
! Tl6PbAu2 | Alexandria via LeMat-Bulk | PBE | optimized geometry; values from VASP
! Theoretical density ... 11.9 g/cm³
! Raw total energy ... -2.721 eV/atom
! ΔE_f ... -3 meV/atom
! Density of states at the Fermi level ... 4.07 states/eV per cell
&SYSTEM
  ibrav = 0, nat = 9, ntyp = 3
/
ATOMIC_SPECIES
Au 196.97 Au.upf
Tl 204.38 Tl.upf
Pb 207.20 Pb.upf
CELL_PARAMETERS angstrom
-2.450 2.242 1.295
-4.199 -3.733 3.429
4.003 0.938 10.858
ATOMIC_POSITIONS crystal
Au 0.357 0.079 0.208
Au 0.643 0.921 0.792
Tl 0.312 0.784 0.591
Tl 0.309 0.506 0.875
Tl 0.691 0.494 0.125
Tl 0.978 0.711 0.333
Tl 0.022 0.289 0.667
Tl 0.688 0.216 0.409
Pb 0.000 0.000 0.000

---

> What is the density of states at the Fermi level in the sixth record?

17.67 states/eV per cell

---

> Number 8 is which compound?

Tl6PbAu2

---

> Which of these has the highest density of states at the Fermi level?

CaPr4In2